This record from the Alexandria database describes crystalline Na5PaTe6 at its relaxed geometry. The functional is GGA-PBE.

- calculated volume (Å³ per cell) = 412.6
- E_form (uncorrected) (eV/atom) = -0.8055
- symmetry = C2/m

Geometry as POSCAR:
```
Na5PaTe6
1.0
7.491 0.497 0.000
2.515 7.687 0.000
1.257 3.844 7.323
Na Pa Te
5 1 6
Direct
0.500 0.202 0.596 Na
0.000 0.305 0.389 Na
0.500 0.500 0.000 Na
0.000 0.695 0.611 Na
0.500 0.798 0.404 Na
0.000 0.000 0.000 Pa
0.779 0.107 0.291 Te
0.221 0.602 0.291 Te
0.328 0.153 0.000 Te
0.672 0.847 0.000 Te
0.779 0.398 0.709 Te
0.221 0.893 0.709 Te
```